# 1
SiNF after structural relaxation, computed with PBE.

```
data_SiNF
_chemical_formula_sum 'Si2 N2 F2'
_symmetry_space_group_name_H-M 'P 1'
_symmetry_Int_Tables_number 1
_cell_length_a 3.740
_cell_length_b 4.459
_cell_length_c 5.792
_cell_angle_alpha 81.64
_cell_angle_beta 79.51
_cell_angle_gamma 85.12
loop_
_symmetry_equiv_pos_as_xyz
'x,y,z'
loop_
_atom_site_label
_atom_site_fract_x
_atom_site_fract_y
_atom_site_fract_z
_atom_site_occupancy
Si1 0.550 0.752 0.411 1
Si2 0.450 0.248 0.589 1
N1 0.190 0.020 0.470 1
N2 0.810 0.980 0.530 1
F1 0.719 0.721 0.138 1
F2 0.281 0.279 0.862 1
```

- Calculated volume: 15.63 Å³ per atom
- E: -6.49 eV per atom
- Energy relative to the elements, uncorrected: -1285 meV/atom
- Crystal system: triclinic
- Magnetic moment: 0.00 μB/f.u.
- Space group: No. 2

# 2
BeCdSnH6 after structural relaxation, computed with PBE.

```
data_BeCdSnH6
_chemical_formula_sum 'Be1 Cd1 Sn1 H6'
_symmetry_space_group_name_H-M 'P 1'
_symmetry_Int_Tables_number 1
_cell_length_a 4.729
_cell_length_b 4.729
_cell_length_c 4.902
_cell_angle_alpha 89.99
_cell_angle_beta 90.01
_cell_angle_gamma 60.04
loop_
_symmetry_equiv_pos_as_xyz
'x,y,z'
loop_
_atom_site_label
_atom_site_fract_x
_atom_site_fract_y
_atom_site_fract_z
_atom_site_occupancy
Be1 0.333 0.333 0.500 1
Cd1 0.667 0.667 0.500 1
Sn1 0.000 0.000 0.000 1
H1 0.059 0.327 0.288 1
H2 0.327 0.059 0.712 1
H3 0.614 0.327 0.712 1
H4 0.059 0.614 0.712 1
H5 0.327 0.614 0.288 1
H6 0.614 0.059 0.288 1
```

- Calculated volume: 10.55 Å³ per atom
- E: -2.86 eV per atom
- Crystal system: trigonal
- Magnetic moment: 0.00 μB/f.u.
- Space group: No. 149

# 3
Th6Bi3Ru after structural relaxation, computed with PBE.

```
data_Th6Bi3Ru
_chemical_formula_sum 'Th12 Bi6 Ru2'
_symmetry_space_group_name_H-M 'P 1'
_symmetry_Int_Tables_number 1
_cell_length_a 6.360
_cell_length_b 8.919
_cell_length_c 11.237
_cell_angle_alpha 90.00
_cell_angle_beta 89.05
_cell_angle_gamma 90.00
loop_
_symmetry_equiv_pos_as_xyz
'x,y,z'
loop_
_atom_site_label
_atom_site_fract_x
_atom_site_fract_y
_atom_site_fract_z
_atom_site_occupancy
Th1 0.610 0.159 0.942 1
Th2 0.581 0.196 0.557 1
Th3 0.638 0.468 0.271 1
Th4 0.362 0.532 0.729 1
Th5 0.419 0.804 0.443 1
Th6 0.390 0.841 0.058 1
Th7 0.110 0.341 0.442 1
Th8 0.081 0.304 0.057 1
Th9 0.138 0.032 0.771 1
Th10 0.862 0.968 0.229 1
Th11 0.919 0.696 0.943 1
Th12 0.890 0.659 0.558 1
Bi1 0.610 0.876 0.745 1
Bi2 0.500 0.500 0.000 1
Bi3 0.390 0.124 0.255 1
Bi4 0.110 0.624 0.245 1
Bi5 0.000 0.000 0.500 1
Bi6 0.890 0.376 0.755 1
Ru1 0.500 0.500 0.500 1
Ru2 0.000 0.000 0.000 1
```

- Calculated volume: 31.87 Å³ per atom
- E: -6.88 eV per atom
- Crystal system: monoclinic
- Magnetic moment: 0.00 μB/f.u.
- Space group: No. 14

# 4
La2PuSb3Pt4 after structural relaxation, computed with PBE.

```
data_La2PuSb3Pt4
_chemical_formula_sum 'La2 Pu1 Sb3 Pt4'
_symmetry_space_group_name_H-M 'P 1'
_symmetry_Int_Tables_number 1
_cell_length_a 4.597
_cell_length_b 4.597
_cell_length_c 11.352
_cell_angle_alpha 90.00
_cell_angle_beta 90.00
_cell_angle_gamma 90.00
loop_
_symmetry_equiv_pos_as_xyz
'x,y,z'
loop_
_atom_site_label
_atom_site_fract_x
_atom_site_fract_y
_atom_site_fract_z
_atom_site_occupancy
La1 0.500 0.000 0.219 1
La2 0.000 0.500 0.781 1
Pu1 0.500 0.500 0.500 1
Sb1 0.000 0.000 0.500 1
Sb2 0.500 0.000 0.875 1
Sb3 0.000 0.500 0.125 1
Pt1 0.500 0.500 0.000 1
Pt2 0.000 0.000 0.000 1
Pt3 0.500 0.000 0.646 1
Pt4 0.000 0.500 0.354 1
```

- Calculated volume: 23.98 Å³ per atom
- E: -6.96 eV per atom
- Energy relative to the elements, uncorrected: -884 meV/atom
- Crystal system: tetragonal
- Magnetic moment: 5.44 μB/f.u.
- Space group: No. 115

# 5
HoHf2 after structural relaxation, computed with PBE.

```
data_HoHf2
_chemical_formula_sum 'Ho2 Hf4'
_symmetry_space_group_name_H-M 'P 1'
_symmetry_Int_Tables_number 1
_cell_length_a 6.049
_cell_length_b 6.049
_cell_length_c 6.049
_cell_angle_alpha 60.00
_cell_angle_beta 60.00
_cell_angle_gamma 60.00
loop_
_symmetry_equiv_pos_as_xyz
'x,y,z'
loop_
_atom_site_label
_atom_site_fract_x
_atom_site_fract_y
_atom_site_fract_z
_atom_site_occupancy
Hf1 0.125 0.625 0.625 1
Hf2 0.625 0.125 0.625 1
Hf3 0.625 0.625 0.625 1
Hf4 0.625 0.625 0.125 1
Ho1 0.000 0.000 0.000 1
Ho2 0.250 0.250 0.250 1
```

- Calculated volume: 26.09 Å³ per atom
- E: -7.84 eV per atom
- Relative energy among the computed polymorphs: 0.203 eV/atom
- Crystal system: cubic
- Magnetic moment: 2.40 μB/f.u.
- Space group: No. 227

# 6
Ho2TeN after structural relaxation, computed with PBE.

```
data_Ho2TeN
_chemical_formula_sum 'Ho2 Te1 N1'
_symmetry_space_group_name_H-M 'P 1'
_symmetry_Int_Tables_number 1
_cell_length_a 3.719
_cell_length_b 3.719
_cell_length_c 7.257
_cell_angle_alpha 75.15
_cell_angle_beta 75.15
_cell_angle_gamma 60.00
loop_
_symmetry_equiv_pos_as_xyz
'x,y,z'
loop_
_atom_site_label
_atom_site_fract_x
_atom_site_fract_y
_atom_site_fract_z
_atom_site_occupancy
Ho1 0.060 0.060 0.820 1
Ho2 0.271 0.271 0.188 1
Te1 0.500 0.500 0.501 1
N1 0.670 0.670 0.991 1
```

- Calculated volume: 20.75 Å³ per atom
- E: -6.53 eV per atom
- Energy relative to the elements, uncorrected: -1370 meV/atom
- Relative energy among the computed polymorphs: 0.009 eV/atom
- Crystal system: trigonal
- Magnetic moment: 0.00 μB/f.u.
- Space group: No. 160

# 7
SrY2Pb after structural relaxation, computed with PBE.

```
data_SrY2Pb
_chemical_formula_sum 'Sr1 Y2 Pb1'
_symmetry_space_group_name_H-M 'P 1'
_symmetry_Int_Tables_number 1
_cell_length_a 6.275
_cell_length_b 6.275
_cell_length_c 3.643
_cell_angle_alpha 90.00
_cell_angle_beta 90.00
_cell_angle_gamma 111.24
loop_
_symmetry_equiv_pos_as_xyz
'x,y,z'
loop_
_atom_site_label
_atom_site_fract_x
_atom_site_fract_y
_atom_site_fract_z
_atom_site_occupancy
Pb1 0.500 0.000 0.500 1
Sr1 0.000 0.500 0.500 1
Y1 0.000 0.000 0.000 1
Y2 0.500 0.500 0.000 1
```

- Calculated volume: 33.43 Å³ per atom
- E: -4.58 eV per atom
- Crystal system: orthorhombic
- Magnetic moment: 0.40 μB/f.u.
- Space group: No. 65

# 8
Tb8Sm6Sn after structural relaxation, computed with PBE.

```
data_Tb8Sm6Sn
_chemical_formula_sum 'Tb8 Sm6 Sn1'
_symmetry_space_group_name_H-M 'P 1'
_symmetry_Int_Tables_number 1
_cell_length_a 6.494
_cell_length_b 9.359
_cell_length_c 9.359
_cell_angle_alpha 120.00
_cell_angle_beta 90.00
_cell_angle_gamma 90.00
loop_
_symmetry_equiv_pos_as_xyz
'x,y,z'
loop_
_atom_site_label
_atom_site_fract_x
_atom_site_fract_y
_atom_site_fract_z
_atom_site_occupancy
Tb1 0.816 0.038 0.264 1
Tb2 0.816 0.736 0.774 1
Tb3 0.816 0.226 0.962 1
Tb4 0.184 0.962 0.737 1
Tb5 0.184 0.263 0.226 1
Tb6 0.184 0.774 0.038 1
Tb7 0.848 0.333 0.667 1
Tb8 0.152 0.667 0.333 1
Sm1 0.676 0.644 0.092 1
Sm2 0.676 0.908 0.552 1
Sm3 0.676 0.448 0.356 1
Sm4 0.324 0.356 0.908 1
Sm5 0.324 0.092 0.448 1
Sm6 0.324 0.552 0.644 1
Sn1 0.500 0.000 0.000 1
```

- Calculated volume: 32.84 Å³ per atom
- E: -4.59 eV per atom
- Crystal system: trigonal
- Magnetic moment: 0.00 μB/f.u.
- Space group: No. 147

# 9
RbNaPbS2 after structural relaxation, computed with PBE.

```
data_RbNaPbS2
_chemical_formula_sum 'Rb2 Na2 Pb2 S4'
_symmetry_space_group_name_H-M 'P 1'
_symmetry_Int_Tables_number 1
_cell_length_a 4.682
_cell_length_b 8.131
_cell_length_c 9.447
_cell_angle_alpha 95.26
_cell_angle_beta 90.00
_cell_angle_gamma 106.73
loop_
_symmetry_equiv_pos_as_xyz
'x,y,z'
loop_
_atom_site_label
_atom_site_fract_x
_atom_site_fract_y
_atom_site_fract_z
_atom_site_occupancy
Rb1 0.321 0.641 0.332 1
Rb2 0.679 0.359 0.668 1
Na1 0.691 0.382 0.057 1
Na2 0.309 0.618 0.943 1
Pb1 0.058 0.116 0.205 1
Pb2 0.942 0.884 0.795 1
S1 0.354 0.708 0.677 1
S2 0.646 0.292 0.323 1
S3 0.129 0.257 0.948 1
S4 0.871 0.743 0.052 1
```

- Calculated volume: 34.28 Å³ per atom
- E: -3.68 eV per atom
- Energy relative to the elements, uncorrected: -833 meV/atom
- Crystal system: monoclinic
- Magnetic moment: 0.00 μB/f.u.
- Space group: No. 12

# 10
Mg2NiMo after structural relaxation, computed with PBE.

```
data_Mg2NiMo
_chemical_formula_sum 'Mg2 Ni1 Mo1'
_symmetry_space_group_name_H-M 'P 1'
_symmetry_Int_Tables_number 1
_cell_length_a 5.510
_cell_length_b 5.510
_cell_length_c 4.750
_cell_angle_alpha 64.30
_cell_angle_beta 64.30
_cell_angle_gamma 29.33
loop_
_symmetry_equiv_pos_as_xyz
'x,y,z'
loop_
_atom_site_label
_atom_site_fract_x
_atom_site_fract_y
_atom_site_fract_z
_atom_site_occupancy
Mg1 0.027 0.027 0.973 1
Mg2 0.473 0.473 0.527 1
Mo1 0.250 0.250 0.250 1
Ni1 0.750 0.750 0.750 1
```

- Calculated volume: 15.79 Å³ per atom
- E: -4.68 eV per atom
- Relative energy among the computed polymorphs: 0.207 eV/atom
- Crystal system: monoclinic
- Magnetic moment: 0.61 μB/f.u.
- Space group: No. 12

# 11
YHgSF2 after structural relaxation, computed with PBE.

```
data_YHgSF2
_chemical_formula_sum 'Y1 Hg1 S1 F2'
_symmetry_space_group_name_H-M 'P 1'
_symmetry_Int_Tables_number 1
_cell_length_a 4.352
_cell_length_b 4.352
_cell_length_c 5.564
_cell_angle_alpha 90.00
_cell_angle_beta 90.00
_cell_angle_gamma 90.00
loop_
_symmetry_equiv_pos_as_xyz
'x,y,z'
loop_
_atom_site_label
_atom_site_fract_x
_atom_site_fract_y
_atom_site_fract_z
_atom_site_occupancy
Y1 0.000 0.000 0.000 1
S1 0.000 0.000 0.500 1
Hg1 0.500 0.500 0.500 1
F1 0.000 0.500 0.000 1
F2 0.500 0.000 0.000 1
```

- Calculated volume: 21.08 Å³ per atom
- E: -5.34 eV per atom
- Energy relative to the elements, uncorrected: -2409 meV/atom
- Crystal system: tetragonal
- Magnetic moment: 0.00 μB/f.u.
- Space group: No. 123

# 12
Tb2CeNd3Y6 after structural relaxation, computed with PBE.

```
data_Tb2CeNd3Y6
_chemical_formula_sum 'Tb2 Ce1 Nd3 Y6'
_symmetry_space_group_name_H-M 'P 1'
_symmetry_Int_Tables_number 1
_cell_length_a 6.242
_cell_length_b 6.242
_cell_length_c 11.864
_cell_angle_alpha 95.02
_cell_angle_beta 95.02
_cell_angle_gamma 119.99
loop_
_symmetry_equiv_pos_as_xyz
'x,y,z'
loop_
_atom_site_label
_atom_site_fract_x
_atom_site_fract_y
_atom_site_fract_z
_atom_site_occupancy
Tb1 0.333 0.667 0.000 1
Tb2 0.667 0.333 0.000 1
Ce1 0.000 0.000 0.000 1
Nd1 0.168 0.832 0.500 1
Nd2 0.832 0.168 0.500 1
Nd3 0.500 0.500 0.500 1
Y1 0.918 0.586 0.753 1
Y2 0.751 0.751 0.247 1
Y3 0.082 0.414 0.247 1
Y4 0.586 0.918 0.753 1
Y5 0.249 0.249 0.753 1
Y6 0.414 0.082 0.247 1
```

- Calculated volume: 32.85 Å³ per atom
- E: -5.66 eV per atom
- Crystal system: monoclinic
- Magnetic moment: 1.19 μB/f.u.
- Space group: No. 12

Among the records above, which one has the highest E?
BeCdSnH6

Please write out number 3 again, unchanged.
Th6Bi3Ru after structural relaxation, computed with PBE.

```
data_Th6Bi3Ru
_chemical_formula_sum 'Th12 Bi6 Ru2'
_symmetry_space_group_name_H-M 'P 1'
_symmetry_Int_Tables_number 1
_cell_length_a 6.360
_cell_length_b 8.919
_cell_length_c 11.237
_cell_angle_alpha 90.00
_cell_angle_beta 89.05
_cell_angle_gamma 90.00
loop_
_symmetry_equiv_pos_as_xyz
'x,y,z'
loop_
_atom_site_label
_atom_site_fract_x
_atom_site_fract_y
_atom_site_fract_z
_atom_site_occupancy
Th1 0.610 0.159 0.942 1
Th2 0.581 0.196 0.557 1
Th3 0.638 0.468 0.271 1
Th4 0.362 0.532 0.729 1
Th5 0.419 0.804 0.443 1
Th6 0.390 0.841 0.058 1
Th7 0.110 0.341 0.442 1
Th8 0.081 0.304 0.057 1
Th9 0.138 0.032 0.771 1
Th10 0.862 0.968 0.229 1
Th11 0.919 0.696 0.943 1
Th12 0.890 0.659 0.558 1
Bi1 0.610 0.876 0.745 1
Bi2 0.500 0.500 0.000 1
Bi3 0.390 0.124 0.255 1
Bi4 0.110 0.624 0.245 1
Bi5 0.000 0.000 0.500 1
Bi6 0.890 0.376 0.755 1
Ru1 0.500 0.500 0.500 1
Ru2 0.000 0.000 0.000 1
```

- Calculated volume: 31.87 Å³ per atom
- E: -6.88 eV per atom
- Crystal system: monoclinic
- Magnetic moment: 0.00 μB/f.u.
- Space group: No. 14

Look up the magnetic moment of the sixth one.
0.00 μB/f.u.